Record 1
VASP calculation (GGA-PBE) on a geometry-optimized SrAc12Sn4 structure. Values from VASP.

Values from the calculation:
Total magnetic moment ... 4.6 μB/cell
Formation energy from the elements ... 31 meV per atom
Calculated volume ... 49.0 Å³ per atom

Cell and atoms, written as Quantum ESPRESSO input:
```
&SYSTEM
  ibrav = 0, nat = 17, ntyp = 3
/
ATOMIC_SPECIES
Sr 87.62 Sr.upf
Ac 227.00 Ac.upf
Sn 118.71 Sn.upf
ATOMIC_POSITIONS angstrom
Sr 0.000 0.000 0.000
Ac 6.809 2.445 1.382
Ac 1.128 4.066 1.426
Ac 5.716 -1.572 5.575
Ac 0.035 -2.421 6.956
Ac -2.294 6.411 2.808
Ac 2.294 0.774 6.956
Ac 3.457 0.026 2.808
Ac -0.035 4.814 5.575
Ac 3.387 7.260 1.426
Ac 4.550 4.042 4.148
Ac -1.128 0.798 4.234
Ac -3.387 2.395 7.001
Sn -1.711 4.840 0.000
Sn 5.133 0.000 0.000
Sn 1.711 2.420 4.191
Sn -1.711 -2.420 4.191
CELL_PARAMETERS angstrom
10.266 0.000 0.000
-3.422 9.679 0.000
-3.422 -4.840 8.383
```

Record 2
VASP calculation (GGA-PBE) on a geometry-optimized LiMg2Zr structure. Values from VASP.

Values from the calculation:
Total magnetic moment ... 0.0 μB/cell
Formation energy from the elements ... 113 meV per atom
Calculated volume ... 21.4 Å³ per atom

Cell and atoms, written as Quantum ESPRESSO input:
```
&SYSTEM
  ibrav = 0, nat = 4, ntyp = 3
/
ATOMIC_SPECIES
Li 6.94 Li.upf
Mg 24.30 Mg.upf
Zr 91.22 Zr.upf
ATOMIC_POSITIONS angstrom
Li 1.460 2.336 4.730
Mg 0.000 0.000 6.233
Mg 1.460 2.336 1.584
Zr 0.000 0.000 3.113
CELL_PARAMETERS angstrom
2.920 0.000 0.000
0.000 4.672 0.000
0.000 0.000 6.264
```

Record 3
VASP calculation (GGA-PBE) on a geometry-optimized CdC3Br structure. Values from VASP.

Values from the calculation:
Total magnetic moment ... 3.1 μB/cell
ΔE_f (raw) ... 3.44 eV/atom
E above lowest polymorph ... 62 meV per atom
Calculated volume ... 17.5 Å³ per atom

Cell and atoms, written as Quantum ESPRESSO input:
```
&SYSTEM
  ibrav = 0, nat = 5, ntyp = 3
/
ATOMIC_SPECIES
C 12.01 C.upf
Br 79.90 Br.upf
Cd 112.41 Cd.upf
ATOMIC_POSITIONS angstrom
C 0.220 -1.051 1.944
C -2.161 0.307 0.410
C -0.463 -1.932 -0.992
Br -2.404 -2.675 1.363
Cd 0.000 0.000 0.000
CELL_PARAMETERS angstrom
-0.926 -3.864 -1.983
0.439 -2.101 3.888
-4.321 0.615 0.820
```

Record 4
VASP calculation (GGA-PBE) on a geometry-optimized Rb2CeYO4 structure. Values from VASP.

Values from the calculation:
Total magnetic moment ... 1.0 μB/cell
ΔE_f (raw) ... -2.60 eV/atom
Calculated volume ... 18.4 Å³ per atom

Cell and atoms, written as Quantum ESPRESSO input:
```
&SYSTEM
  ibrav = 0, nat = 8, ntyp = 4
/
ATOMIC_SPECIES
Rb 85.47 Rb.upf
Ce 140.12 Ce.upf
Y 88.91 Y.upf
O 16.00 O.upf
ATOMIC_POSITIONS angstrom
Rb -2.958 -1.860 1.712
Rb -0.526 -3.857 -0.030
Ce -0.852 -1.539 -3.138
Y 0.000 0.000 0.000
O -1.758 -1.279 -0.920
O -2.577 -5.978 -0.536
O -1.745 -4.385 2.665
O 0.693 -3.330 -2.726
CELL_PARAMETERS angstrom
-3.284 0.458 -1.396
1.580 -3.537 -4.881
-2.631 -4.178 4.820
```

Record 5
VASP calculation (GGA-PBE) on a geometry-optimized Dy5YTl2In structure. Values from VASP.

Values from the calculation:
Total magnetic moment ... 0.0 μB/cell
Formation energy from the elements ... -12 meV per atom
Calculated volume ... 30.2 Å³ per atom

Cell and atoms, written as Quantum ESPRESSO input:
```
&SYSTEM
  ibrav = 0, nat = 18, ntyp = 4
/
ATOMIC_SPECIES
Dy 162.50 Dy.upf
Y 88.91 Y.upf
Tl 204.38 Tl.upf
In 114.82 In.upf
ATOMIC_POSITIONS angstrom
Dy 6.014 2.213 2.473
Dy 2.213 -1.589 6.915
Dy -2.213 1.589 6.915
Dy -1.589 -2.213 6.915
Dy 1.589 2.213 6.915
Dy 5.391 6.014 2.473
Dy 2.213 1.589 2.473
Dy 1.589 5.391 2.473
Dy 3.802 3.802 0.000
Dy 0.000 0.000 0.000
Y 0.000 3.802 4.694
Y 3.802 0.000 4.694
Tl 0.975 2.826 0.000
Tl 4.777 0.975 0.000
Tl 2.826 6.628 0.000
Tl 6.628 4.777 0.000
In 0.000 0.000 4.694
In 3.802 3.802 4.694
CELL_PARAMETERS angstrom
7.604 0.000 0.000
0.000 7.604 0.000
-3.802 -3.802 9.387
```

Record 6
VASP calculation (GGA-PBE) on a geometry-optimized Ge2Sb2Te structure. Values from VASP.

Values from the calculation:
Total magnetic moment ... 0.0 μB/cell
ΔE_f (raw) ... 0.27 eV/atom
E above lowest polymorph ... 18 meV per atom
Calculated volume ... 24.9 Å³ per atom

Cell and atoms, written as Quantum ESPRESSO input:
```
&SYSTEM
  ibrav = 0, nat = 10, ntyp = 3
/
ATOMIC_SPECIES
Sb 121.76 Sb.upf
Ge 72.64 Ge.upf
Te 127.60 Te.upf
ATOMIC_POSITIONS angstrom
Sb 2.154 -5.333 -0.692
Sb 0.438 -8.905 1.319
Sb -1.394 -6.287 4.407
Sb 0.323 -2.715 2.396
Ge 0.194 -7.454 -1.378
Ge -2.312 -8.226 2.208
Ge -2.450 -3.867 3.050
Ge 0.056 -3.095 -0.536
Te 0.000 0.000 0.000
Te -1.128 -5.660 0.836
CELL_PARAMETERS angstrom
-4.223 -4.340 5.599
1.967 -6.980 -3.927
3.016 -0.299 2.043
```

Record 7
VASP calculation (GGA-PBE) on a geometry-optimized CeHoSc2 structure. Values from VASP.

Values from the calculation:
Total magnetic moment ... 0.6 μB/cell
E above lowest polymorph ... 11 meV per atom
Formation energy from the elements ... 76 meV per atom
Calculated volume ... 26.9 Å³ per atom

Cell and atoms, written as Quantum ESPRESSO input:
```
&SYSTEM
  ibrav = 0, nat = 4, ntyp = 3
/
ATOMIC_SPECIES
Ce 140.12 Ce.upf
Ho 164.93 Ho.upf
Sc 44.96 Sc.upf
ATOMIC_POSITIONS angstrom
Ce 3.361 1.940 5.496
Ho 3.361 1.940 0.013
Sc 1.680 0.970 8.265
Sc 1.680 0.970 2.752
CELL_PARAMETERS angstrom
3.361 0.000 0.000
1.680 2.910 0.000
1.680 0.970 11.018
```

Record 8
VASP calculation (GGA-PBE) on a geometry-optimized LiYNpTe3 structure. Values from VASP.

Values from the calculation:
Total magnetic moment ... 9.5 μB/cell
ΔE_f (raw) ... -0.98 eV/atom
Calculated volume ... 29.3 Å³ per atom

Cell and atoms, written as Quantum ESPRESSO input:
```
&SYSTEM
  ibrav = 0, nat = 12, ntyp = 4
/
ATOMIC_SPECIES
Li 6.94 Li.upf
Y 88.91 Y.upf
Np 237.00 Np.upf
Te 127.60 Te.upf
ATOMIC_POSITIONS angstrom
Li 1.066 -0.578 5.370
Li 3.198 7.227 3.905
Y 1.066 5.613 1.541
Y 3.198 1.036 7.734
Np 1.066 1.106 2.102
Np 3.198 5.543 7.174
Te 3.198 7.827 1.239
Te 1.066 -1.179 8.036
Te 1.066 5.702 4.671
Te 3.198 0.947 4.604
Te 3.198 3.422 1.625
Te 1.066 3.227 7.650
CELL_PARAMETERS angstrom
4.264 0.000 0.000
0.000 8.948 0.061
0.000 -2.299 9.214
```

Record 9
VASP calculation (GGA-PBE) on a geometry-optimized Al2SeCl structure. Values from VASP.

Values from the calculation:
Total magnetic moment ... 0.0 μB/cell
ΔE_f (raw) ... -0.24 eV/atom
E above lowest polymorph ... 391 meV per atom
Calculated volume ... 25.7 Å³ per atom

Cell and atoms, written as Quantum ESPRESSO input:
```
&SYSTEM
  ibrav = 0, nat = 4, ntyp = 3
/
ATOMIC_SPECIES
Al 26.98 Al.upf
Se 78.96 Se.upf
Cl 35.45 Cl.upf
ATOMIC_POSITIONS angstrom
Al 0.000 0.000 6.153
Al 1.973 1.974 2.375
Se 1.973 1.974 6.002
Cl 0.000 0.000 1.983
CELL_PARAMETERS angstrom
3.947 0.000 0.000
0.000 3.949 0.000
0.000 0.000 6.605
```

Record 10
VASP calculation (GGA-PBE) on a geometry-optimized KTiCl3 structure. Values from VASP.

Values from the calculation:
Total magnetic moment ... 2.0 μB/cell
ΔE_f (raw) ... -0.28 eV/atom
Calculated volume ... 33.4 Å³ per atom

Cell and atoms, written as Quantum ESPRESSO input:
```
&SYSTEM
  ibrav = 0, nat = 5, ntyp = 3
/
ATOMIC_SPECIES
K 39.10 K.upf
Cl 35.45 Cl.upf
Ti 47.87 Ti.upf
ATOMIC_POSITIONS angstrom
K 0.000 0.000 0.000
Cl -0.725 -1.269 2.333
Cl 2.654 -0.265 0.680
Cl -0.089 2.429 1.293
Ti 1.841 0.895 4.307
CELL_PARAMETERS angstrom
-0.177 4.858 2.586
-1.450 -2.537 4.666
5.309 -0.531 1.361
```

Record 11
VASP calculation (GGA-PBE) on a geometry-optimized Ti4NiOs structure. Values from VASP.

Values from the calculation:
Total magnetic moment ... 0.0 μB/cell
Formation energy from the elements ... -382 meV per atom
Calculated volume ... 15.1 Å³ per atom

Cell and atoms, written as Quantum ESPRESSO input:
```
&SYSTEM
  ibrav = 0, nat = 6, ntyp = 3
/
ATOMIC_SPECIES
Ti 47.87 Ti.upf
Ni 58.69 Ni.upf
Os 190.23 Os.upf
ATOMIC_POSITIONS angstrom
Ti 3.268 -3.267 7.024
Ti -0.700 -0.519 2.488
Ti 0.612 -2.432 7.277
Ti 1.955 -1.354 2.235
Ni 0.000 0.000 0.000
Os 1.284 -1.893 4.756
CELL_PARAMETERS angstrom
-0.922 2.073 2.062
-2.275 -1.867 0.860
5.765 -3.992 6.590
```

Record 12
VASP calculation (GGA-PBE) on a geometry-optimized LiTe2RhI structure. Values from VASP.

Values from the calculation:
Total magnetic moment ... 0.1 μB/cell
ΔE_f (raw) ... -0.02 eV/atom
E above lowest polymorph ... 0 meV per atom
Calculated volume ... 31.4 Å³ per atom

Cell and atoms, written as Quantum ESPRESSO input:
```
&SYSTEM
  ibrav = 0, nat = 5, ntyp = 4
/
ATOMIC_SPECIES
I 126.90 I.upf
Te 127.60 Te.upf
Rh 102.91 Rh.upf
Li 6.94 Li.upf
ATOMIC_POSITIONS angstrom
I -2.034 -1.916 -0.725
Te 1.757 -1.345 -1.375
Te -0.574 1.410 -2.114
Rh 0.000 0.000 0.000
Li -0.851 -1.851 -4.214
CELL_PARAMETERS angstrom
-1.148 2.820 -4.228
3.514 -2.691 -2.749
-4.069 -3.832 -1.451
```

Question: Which of these has the highest calculated volume?
Answer: SrAc12Sn4

Copy entry 6 word for word.
VASP calculation (GGA-PBE) on a geometry-optimized Ge2Sb2Te structure. Values from VASP.

Values from the calculation:
Total magnetic moment ... 0.0 μB/cell
ΔE_f (raw) ... 0.27 eV/atom
E above lowest polymorph ... 18 meV per atom
Calculated volume ... 24.9 Å³ per atom

Cell and atoms, written as Quantum ESPRESSO input:
```
&SYSTEM
  ibrav = 0, nat = 10, ntyp = 3
/
ATOMIC_SPECIES
Sb 121.76 Sb.upf
Ge 72.64 Ge.upf
Te 127.60 Te.upf
ATOMIC_POSITIONS angstrom
Sb 2.154 -5.333 -0.692
Sb 0.438 -8.905 1.319
Sb -1.394 -6.287 4.407
Sb 0.323 -2.715 2.396
Ge 0.194 -7.454 -1.378
Ge -2.312 -8.226 2.208
Ge -2.450 -3.867 3.050
Ge 0.056 -3.095 -0.536
Te 0.000 0.000 0.000
Te -1.128 -5.660 0.836
CELL_PARAMETERS angstrom
-4.223 -4.340 5.599
1.967 -6.980 -3.927
3.016 -0.299 2.043
```